Material: Ba4SnF2
Method: DFT, GGA-PBE
State: relaxed

Properties
Formation energy without anion corrections ... -1.50 eV per atom
Density ... 3.6 g/cm³
Space-group type ... I4/mmm (139)
E ... -3.709 eV per atom

Unit cell a=6.632 b=6.632 c=8.715 alpha=67.64 beta=67.64 gamma=90.00
Sites, in units of the cell vectors:
F 0.592 0.592 0.816
F 0.408 0.408 0.184
Ba 0.755 0.755 0.491
Ba 0.245 0.245 0.509
Ba 0.000 0.500 0.000
Ba 0.500 0.000 0.000
Sn 0.000 0.000 0.000